# 1
VASP calculation (PBE) on a relaxed structure of LiTlCuO2.

Results
total energy = -4.4725 eV per atom
crystal system = orthorhombic
magnetic moment = 0.01 μB/cell

Cell lengths 6.050, 6.050, 5.110 Å; angles 90.00, 90.00, 132.02 degrees
Positions (direct):
Li (0.250, 0.250, 0.000)
Li (0.750, 0.750, 0.000)
Tl (0.250, 0.750, 0.761)
Tl (0.750, 0.250, 0.239)
Cu (0.000, 0.000, 0.500)
Cu (0.500, 0.500, 0.500)
O (0.098, 0.902, 0.218)
O (0.402, 0.598, 0.218)
O (0.598, 0.402, 0.782)
O (0.902, 0.098, 0.782)


# 2
VASP calculation (PBE) on a relaxed structure of Li2TmCuO4.

Results
total energy = -5.8199 eV per atom
crystal system = orthorhombic
magnetic moment = 1.42 μB/cell

Cell lengths 5.892, 5.892, 9.641 Å; angles 90.00, 90.00, 148.45 degrees
Positions (direct):
Li (0.098, 0.902, 0.543)
Li (0.098, 0.902, 0.957)
Li (0.902, 0.098, 0.043)
Li (0.902, 0.098, 0.457)
Tm (0.433, 0.567, 0.750)
Tm (0.567, 0.433, 0.250)
Cu (0.300, 0.700, 0.250)
Cu (0.700, 0.300, 0.750)
O (0.088, 0.912, 0.750)
O (0.171, 0.829, 0.132)
O (0.171, 0.829, 0.368)
O (0.500, 0.500, 0.000)
O (0.500, 0.500, 0.500)
O (0.829, 0.171, 0.632)
O (0.829, 0.171, 0.868)
O (0.912, 0.088, 0.250)


# 3
VASP calculation (PBE) on a relaxed structure of LiUCu2O6.

Results
total energy = -6.7639 eV per atom
crystal system = monoclinic
magnetic moment = 0.00 μB/cell

Cell lengths 6.855, 6.855, 5.367 Å; angles 96.61, 96.61, 84.81 degrees
Positions (direct):
Li (0.083, 0.917, 0.750)
Li (0.917, 0.083, 0.250)
U (0.268, 0.732, 0.250)
U (0.732, 0.268, 0.750)
Cu (0.203, 0.393, 0.684)
Cu (0.393, 0.203, 0.184)
Cu (0.607, 0.797, 0.816)
Cu (0.797, 0.607, 0.316)
O (0.011, 0.209, 0.620)
O (0.154, 0.630, 0.907)
O (0.209, 0.011, 0.120)
O (0.291, 0.442, 0.374)
O (0.370, 0.846, 0.593)
O (0.442, 0.291, 0.874)
O (0.558, 0.709, 0.126)
O (0.630, 0.154, 0.407)
O (0.709, 0.558, 0.626)
O (0.791, 0.989, 0.880)
O (0.846, 0.370, 0.093)
O (0.989, 0.791, 0.380)


# 4
VASP calculation (PBE) on a relaxed structure of Li2UCuO6.

Results
total energy = -6.8077 eV per atom
crystal system = monoclinic
magnetic moment = 0.00 μB/cell

Cell lengths 5.554, 5.554, 5.082 Å; angles 110.21, 110.21, 58.09 degrees
Positions (direct):
Li (0.239, 0.239, 0.142)
Li (0.761, 0.761, 0.858)
U (0.000, 0.000, 0.500)
Cu (0.500, 0.500, 0.000)
O (0.179, 0.645, 0.148)
O (0.187, 0.187, 0.475)
O (0.355, 0.821, 0.852)
O (0.645, 0.179, 0.148)
O (0.813, 0.813, 0.525)
O (0.821, 0.355, 0.852)


# 5
VASP calculation (PBE) on a relaxed structure of LiUCuO5.

Results
total energy = -7.2470 eV per atom
crystal system = monoclinic
magnetic moment = 0.00 μB/cell

Cell lengths 5.472, 5.472, 7.903 Å; angles 100.52, 100.52, 106.02 degrees
Positions (direct):
Li (0.177, 0.823, 0.750)
Li (0.823, 0.177, 0.250)
U (0.500, 0.500, 0.000)
U (0.500, 0.500, 0.500)
Cu (0.139, 0.861, 0.250)
Cu (0.861, 0.139, 0.750)
O (0.157, 0.183, 0.393)
O (0.183, 0.157, 0.893)
O (0.251, 0.678, 0.075)
O (0.322, 0.749, 0.425)
O (0.398, 0.602, 0.750)
O (0.602, 0.398, 0.250)
O (0.678, 0.251, 0.575)
O (0.749, 0.322, 0.925)
O (0.817, 0.843, 0.107)
O (0.843, 0.817, 0.607)


> Which of these has the highest magnetic moment?

Li2TmCuO4


Please write out number 4 again, unchanged.
VASP calculation (PBE) on a relaxed structure of Li2UCuO6.

Results
total energy = -6.8077 eV per atom
crystal system = monoclinic
magnetic moment = 0.00 μB/cell

Cell lengths 5.554, 5.554, 5.082 Å; angles 110.21, 110.21, 58.09 degrees
Positions (direct):
Li (0.239, 0.239, 0.142)
Li (0.761, 0.761, 0.858)
U (0.000, 0.000, 0.500)
Cu (0.500, 0.500, 0.000)
O (0.179, 0.645, 0.148)
O (0.187, 0.187, 0.475)
O (0.355, 0.821, 0.852)
O (0.645, 0.179, 0.148)
O (0.813, 0.813, 0.525)
O (0.821, 0.355, 0.852)


> Number 1 is which compound?

LiTlCuO2


> Which formula does entry 2 have?

Li2TmCuO4